36
Lattice="7.1945 -0.0084 -0.0028 -3.2396 6.5763 0.0013 -0.0660 -0.0500 7.8489" Properties=species:S:1:pos:R:3 comment="Li2VPO5 GGA+U relaxed" space_group="No. 2" volume_a3_per_cell=371 magmom_total_mub_per_cell=8.00 energy_ev_per_atom=-6.8312 pbc="T T T"
Li -0.3711 2.6651 4.3515
Li 1.3921 0.7977 4.3841
Li 4.7200 2.2807 7.3959
Li 2.4968 5.7202 3.4633
Li 4.2601 3.8529 3.4959
Li -0.8310 4.2372 0.4515
Li 3.5973 -0.0042 -0.0014
Li 1.9445 3.2590 3.9237
P -0.6800 5.0482 3.0276
P 3.0792 4.7823 0.8946
P 4.5689 1.4697 4.8197
P 0.8097 1.7356 6.9527
O 0.6412 4.8482 3.8273
O 0.9198 1.8284 2.7915
O 0.5045 0.4292 6.1780
O 3.2478 1.6697 4.0201
O 3.3845 6.0887 1.6693
O 2.9692 4.6895 5.0558
O 2.0962 1.5771 7.7811
O 4.5200 1.4878 1.2618
O 5.7009 1.0143 3.8626
O -1.8119 5.5036 3.9848
O -0.5270 6.0413 1.8629
O 0.9874 2.7919 5.7968
O -1.1390 3.6611 2.4715
O 4.4160 0.4766 5.9845
O 2.9016 3.7260 2.0505
O 4.2745 4.3354 0.0020
O -0.3855 2.1825 7.8453
O -0.6311 5.0301 6.5855
O 5.0280 2.8568 5.3759
O 1.7927 4.9408 0.0662
V 6.3523 1.5099 1.8944
V 1.1815 4.8862 5.9123
V -2.4634 5.0080 5.9530
V 2.7075 1.6317 1.9351